(1)
La2VSn2, optimized geometry, DFT PBE-GGA; final energy = -58.1 eV for the cell shown; ρ = 6543 kg/m3; space group = P4/mbm
1.0
7.695 0.000 0.000
0.000 7.695 0.000
0.000 0.000 4.853
La V Sn
4 2 4
Direct
0.174 0.326 0.000 La
0.326 0.826 0.000 La
0.674 0.174 0.000 La
0.826 0.674 0.000 La
0.000 0.000 0.500 V
0.500 0.500 0.500 V
0.134 0.634 0.500 Sn
0.366 0.134 0.500 Sn
0.634 0.866 0.500 Sn
0.866 0.366 0.500 Sn

=====

(2)
LaV3Sn, optimized geometry, DFT PBE-GGA; final energy = -28.5 eV for the cell shown; ρ = 6753 kg/m3; space group = Pm-3m
1.0
4.656 0.000 0.000
0.000 4.656 0.000
0.000 0.000 4.656
La V Sn
1 3 1
Direct
0.000 0.000 0.000 La
0.000 0.000 0.500 V
0.000 0.500 0.000 V
0.500 0.000 0.000 V
0.500 0.500 0.500 Sn